[1]
Entry from Alexandria via LeMat-Bulk: crystalline LaCe4As6 at its relaxed geometry (PBE-GGA).

Calculated values
Crystal system: trigonal

Cell: 8.308 8.308 8.308 Å, 91.13 91.13 88.87°
Each line ends with the local moment (μB).
Fractional coordinates of all 22 atoms:
As 0.067 0.915 0.333  -0.03
As 0.567 0.167 0.585  -0.03
As 0.433 0.833 0.415  -0.03
La 0.500 0.500 0.500  -0.01
Ce 0.136 0.750 0.636  0.39
As 0.915 0.667 0.933  -0.03
Ce 0.864 0.250 0.364  0.39
As 0.167 0.415 0.433  -0.03
La 0.000 0.000 0.000  -0.01
As 0.585 0.433 0.167  -0.03
Ce 0.636 0.864 0.750  0.39
As 0.933 0.085 0.667  -0.03
Ce 0.750 0.364 0.864  0.39
As 0.415 0.567 0.833  -0.03
Ce 0.250 0.636 0.136  0.39
As 0.833 0.585 0.567  -0.03
Ce 0.250 0.250 0.750  0.35
As 0.667 0.067 0.085  -0.03
Ce 0.750 0.750 0.250  0.35
As 0.085 0.333 0.067  -0.03
As 0.333 0.933 0.915  -0.03
Ce 0.364 0.136 0.250  0.39

---

[2]
Entry from Alexandria via LeMat-Bulk: crystalline La2CeAs3 at its relaxed geometry (PBE-GGA).

Calculated values
Crystal system: orthorhombic
Offset from the most stable computed form: 0.0 meV per atom

Cell: 4.325 6.119 7.496 Å, 114.09 106.77 90.00°
Each line ends with the local moment (μB).
Fractional coordinates of all 6 atoms:
La 0.833 0.833 0.166  0.01
Ce 0.500 0.500 0.500  0.63
As 0.839 0.339 0.179  -0.01
As 0.500 0.000 0.500  -0.01
As 0.161 0.661 0.821  -0.01
La 0.167 0.167 0.834  0.01

---

[3]
Entry from Alexandria via LeMat-Bulk: crystalline LaCeAs2 at its relaxed geometry (PBE-GGA).

Calculated values
Crystal system: trigonal
Offset from the most stable computed form: 141.3 meV per atom

Cell: 4.234 4.234 7.738 Å, 74.12 74.12 60.00°
Each line ends with the local moment (μB).
Fractional coordinates of all 4 atoms:
La 0.497 0.497 0.509  0.04
As 0.079 0.079 0.762  -0.02
As 0.255 0.255 0.236  -0.02
Ce 0.669 0.669 0.993  0.67

---

[4]
Entry from Alexandria via LeMat-Bulk: crystalline LaCeAs2 at its relaxed geometry (PBE-GGA).

Calculated values
Crystal system: trigonal
Offset from the most stable computed form: 0.0 meV per atom

Cell: 4.294 4.294 7.455 Å, 90.00 106.74 120.00°
Each line ends with the local moment (μB).
Fractional coordinates of all 4 atoms:
As 0.493 0.746 0.239  -0.02
Ce 0.000 0.000 0.000  0.61
As 0.507 0.254 0.761  -0.02
La 0.000 0.500 0.500  0.01

---

[5]
Entry from Alexandria via LeMat-Bulk: crystalline LaCeAs at its relaxed geometry (PBE-GGA).

Calculated values
Crystal system: cubic

Cell: 5.030 5.030 5.030 Å, 60.00 60.00 60.00°
Each line ends with the local moment (μB).
Fractional coordinates of all 3 atoms:
As 0.250 0.250 0.250  -0.02
La 0.000 0.000 0.000  0.12
Ce 0.500 0.500 0.500  0.93

---

[6]
Entry from Alexandria via LeMat-Bulk: crystalline LaCeAs at its relaxed geometry (PBE-GGA).

Calculated values
Crystal system: tetragonal

Cell: 4.028 4.028 5.696 Å, 110.71 110.71 90.00°
Each line ends with the local moment (μB).
Fractional coordinates of all 3 atoms:
Ce 0.978 0.978 0.956  0.64
La 0.261 0.261 0.522  0.07
As 0.611 0.611 0.221  -0.01

---

| no. | ΔE_f (eV/atom) |
| --- | --- |
| 1 | -1.130 |
| 2 | -1.523 |
| 3 | -1.357 |
| 4 | -1.499 |
| 5 | -0.759 |
| 6 | -0.732 |